Record 1
Crystalline Sc2NbCr at its relaxed geometry. Source: Alexandria via LeMat-Bulk, functional PBE.

The value obtained for the volume is 20.10 Å³/atom. Its calculated total energy is -7.7908 eV/atom. The space-group type is Fm-3m, No. 225. For the formation energy, the calculation gives 298 meV per atom.

a = 4.8449 Å, b = 4.8449 Å, c = 4.8449 Å
α = 60.00°, β = 60.00°, γ = 60.00°
Closest atoms and distances in Å follow each position.
Sites, in units of the cell vectors:
Sc  0.2500  0.2500  0.2500  4 Cr 2.97, 4 Nb 2.97
Sc  0.7500  0.7500  0.7500  4 Cr 2.97, 4 Nb 2.97
Nb  0.0000  0.0000  0.0000  8 Sc 2.97
Cr  0.5000  0.5000  0.5000  8 Sc 2.97



Record 2
Crystalline CsNa2TlAg at its relaxed geometry. Source: Alexandria via LeMat-Bulk, functional PBE.

The value obtained for the volume is 39.41 Å³/atom. Its calculated total energy is -1.7140 eV/atom. The space-group type is P4/mmm, No. 123. For the formation energy, the calculation gives 28 meV per atom.

a = 5.9709 Å, b = 5.9709 Å, c = 5.5271 Å
α = 90.00°, β = 90.00°, γ = 90.00°
Closest atoms and distances in Å follow each position.
Sites, in units of the cell vectors:
Cs  0.0000  0.0000  0.0000  8 Na 4.07, 4 Tl 4.22
Na  0.0000  0.5000  0.5000  2 Ag 2.99
Na  0.5000  0.0000  0.5000  2 Ag 2.99
Tl  0.5000  0.5000  0.0000  2 Ag 2.76
Ag  0.5000  0.5000  0.5000  2 Tl 2.76, 4 Na 2.99



Record 3
Crystalline BaAl2Cd at its relaxed geometry. Source: Alexandria via LeMat-Bulk, functional PBE.

The value obtained for the volume is 27.64 Å³/atom. Its calculated total energy is -2.4526 eV/atom. The space-group type is Pmmm, No. 47. For the formation energy, the calculation gives 128 meV per atom.

a = 4.7795 Å, b = 4.8005 Å, c = 4.8188 Å
α = 90.00°, β = 90.00°, γ = 90.00°
Closest atoms and distances in Å follow each position.
Sites, in units of the cell vectors:
Ba  0.0000  0.0000  0.0000  4 Cd 3.39, 8 Al 3.39-3.40
Al  0.0000  0.5000  0.5000  4 Al 3.39, 4 Cd 3.39, 4 Ba 3.40
Al  0.5000  0.0000  0.5000  4 Al 3.39, 4 Ba 3.39, 4 Cd 3.40
Cd  0.5000  0.5000  0.0000  4 Ba 3.39, 8 Al 3.39-3.40



Record 4
Crystalline ZnAu2Se at its relaxed geometry. Source: Alexandria via LeMat-Bulk, functional PBE.

The value obtained for the volume is 18.46 Å³/atom. Its calculated total energy is -2.6964 eV/atom. The space-group type is F-43m, No. 216.

a = 4.7094 Å, b = 4.7094 Å, c = 4.7094 Å
α = 60.00°, β = 60.00°, γ = 60.00°
Closest atoms and distances in Å follow each position.
Sites, in units of the cell vectors:
Zn  0.0000  0.0000  0.0000  4 Se 2.88, 4 Au 2.88
Au  0.2500  0.2500  0.2500  4 Zn 2.88, 4 Au 2.88
Au  0.5000  0.5000  0.5000  4 Se 2.88, 4 Au 2.88
Se  0.7500  0.7500  0.7500  4 Zn 2.88, 4 Au 2.88



Record 5
Crystalline SiAgSe2 at its relaxed geometry. Source: Alexandria via LeMat-Bulk, functional PBE.

The value obtained for the volume is 27.09 Å³/atom. Its calculated total energy is -3.6610 eV/atom. The space-group type is Cmmm, No. 65.

a = 4.4101 Å, b = 4.4101 Å, c = 7.6691 Å
α = 90.00°, β = 90.00°, γ = 133.42°
Closest atoms and distances in Å follow each position.
Sites, in units of the cell vectors:
Si  0.0000  0.0000  0.0000  4 Se 2.46
Ag  0.0000  0.0000  0.5000  4 Se 2.73
Se  0.5000  0.5000  0.2259  2 Si 2.46, 2 Ag 2.73
Se  0.5000  0.5000  0.7741  2 Si 2.46, 2 Ag 2.73



Record 6
Crystalline Cs2Os2Pt at its relaxed geometry. Source: Alexandria via LeMat-Bulk, functional PBE.

The value obtained for the volume is 36.54 Å³/atom. Its calculated total energy is -4.6089 eV/atom. The space-group type is I4/mmm, No. 139. For the formation energy, the calculation gives 1433 meV per atom.

a = 6.1920 Å, b = 6.1920 Å, c = 6.1920 Å
α = 110.11°, β = 110.11°, γ = 108.20°
Closest atoms and distances in Å follow each position.
Sites, in units of the cell vectors:
Cs  0.2500  0.7500  0.5000  4 Os 3.61, 2 Cs 3.63, 4 Pt 3.98
Cs  0.7500  0.2500  0.5000  4 Os 3.61, 2 Cs 3.63, 4 Pt 3.98
Os  0.1539  0.1539  0.0000  1 Os 2.24
Os  0.8461  0.8461  0.0000  1 Os 2.24
Pt  0.5000  0.5000  0.0000  2 Os 2.51



Record 7
Crystalline Rb3Sm2ZrS6 at its relaxed geometry. Source: Alexandria via LeMat-Bulk, functional PBE.

The value obtained for the volume is 27.28 Å³/atom. Its calculated total energy is -5.4843 eV/atom. The space-group type is C2/m, No. 12.

a = 6.9975 Å, b = 6.9975 Å, c = 8.0654 Å
α = 98.33°, β = 98.33°, γ = 120.00°
Closest atoms and distances in Å follow each position.
Sites, in units of the cell vectors:
Rb  0.0000  0.0000  0.0000  6 S 3.28-3.41
Rb  0.3302  0.6698  0.0000  6 S 3.28-3.39
Rb  0.6698  0.3302  0.0000  6 S 3.28-3.39
Sm  0.1664  0.8336  0.5000  6 S 2.83
Sm  0.8336  0.1664  0.5000  6 S 2.83
Zr  0.5000  0.5000  0.5000  6 S 2.66-2.67
S  0.1206  0.4353  0.3061  1 Zr 2.66, 2 Sm 2.83
S  0.2506  0.2506  0.6949  1 Zr 2.67, 2 Sm 2.83
S  0.4353  0.1206  0.3061  1 Zr 2.66, 2 Sm 2.83
S  0.5647  0.8794  0.6939  1 Zr 2.66, 2 Sm 2.83
S  0.7494  0.7494  0.3051  1 Zr 2.67, 2 Sm 2.83
S  0.8794  0.5647  0.6939  1 Zr 2.66, 2 Sm 2.83



Record 8
Crystalline Pm3Cu2Pd at its relaxed geometry. Source: Alexandria via LeMat-Bulk, functional PBE.

The value obtained for the volume is 24.28 Å³/atom. Its calculated total energy is -4.9380 eV/atom. The space-group type is Pnma, No. 62. For the formation energy, the calculation gives -332 meV per atom.

a = 11.8855 Å, b = 4.4277 Å, c = 11.0714 Å
α = 90.00°, β = 90.00°, γ = 90.00°
Closest atoms and distances in Å follow each position.
Sites, in units of the cell vectors:
Pm  0.0498  0.2500  0.1248  1 Pd 2.95, 5 Cu 3.02-3.28
Pm  0.1146  0.7500  0.5662  3 Pd 2.94-3.04, 5 Cu 3.06-3.23
Pm  0.2193  0.2500  0.8041  2 Pd 2.98, 4 Cu 3.07-3.23
Pm  0.2807  0.7500  0.3041  2 Pd 2.98, 4 Cu 3.07-3.23
Pm  0.3854  0.2500  0.0662  3 Pd 2.94-3.04, 5 Cu 3.06-3.23
Pm  0.4502  0.7500  0.6248  1 Pd 2.95, 5 Cu 3.02-3.28
Pm  0.5498  0.2500  0.3752  1 Pd 2.95, 5 Cu 3.02-3.28
Pm  0.6146  0.7500  0.9338  3 Pd 2.94-3.04, 5 Cu 3.06-3.23
Pm  0.7193  0.2500  0.6959  2 Pd 2.98, 4 Cu 3.07-3.23
Pm  0.7807  0.7500  0.1959  2 Pd 2.98, 4 Cu 3.07-3.23
Pm  0.8854  0.2500  0.4338  3 Pd 2.94-3.04, 5 Cu 3.06-3.23
Pm  0.9502  0.7500  0.8752  1 Pd 2.95, 5 Cu 3.02-3.28
Cu  0.0171  0.7500  0.3064  2 Pd 2.69
Cu  0.1936  0.7500  0.0143  1 Pd 2.61
Cu  0.3064  0.2500  0.5143  1 Pd 2.61
Cu  0.4829  0.2500  0.8064  2 Pd 2.69
Cu  0.5171  0.7500  0.1936  2 Pd 2.69
Cu  0.6936  0.7500  0.4857  1 Pd 2.61
Cu  0.8064  0.2500  0.9857  1 Pd 2.61
Cu  0.9829  0.2500  0.6936  2 Pd 2.69
Pd  0.1272  0.2500  0.3780  3 Cu 2.61-2.69
Pd  0.3728  0.7500  0.8780  3 Cu 2.61-2.69
Pd  0.6272  0.2500  0.1220  3 Cu 2.61-2.69
Pd  0.8728  0.7500  0.6220  3 Cu 2.61-2.69



Record 9
Crystalline KRb2I at its relaxed geometry. Source: Alexandria via LeMat-Bulk, functional PBE.

The value obtained for the volume is 61.80 Å³/atom. Its calculated total energy is -1.7058 eV/atom. The space-group type is P4/mmm, No. 123.

a = 6.7100 Å, b = 6.7100 Å, c = 5.4900 Å
α = 90.00°, β = 90.00°, γ = 90.00°
Closest atoms and distances in Å follow each position.
Sites, in units of the cell vectors:
K  0.0000  0.0000  0.0000  8 Rb 4.33, 4 I 4.74
Rb  0.0000  0.5000  0.5000  4 I 4.33, 4 K 4.33, 4 Rb 4.74
Rb  0.5000  0.0000  0.5000  4 I 4.33, 4 K 4.33, 4 Rb 4.74
I  0.5000  0.5000  0.0000  8 Rb 4.33, 4 K 4.74



Record 10
Crystalline Zr2PO at its relaxed geometry. Source: Alexandria via LeMat-Bulk, functional PBE.

The value obtained for the volume is 15.08 Å³/atom. Its calculated total energy is -8.1971 eV/atom. The space-group type is Fm-3m, No. 225.

a = 4.4025 Å, b = 4.4025 Å, c = 4.4025 Å
α = 60.00°, β = 60.00°, γ = 60.00°
Closest atoms and distances in Å follow each position.
Sites, in units of the cell vectors:
Zr  0.2500  0.2500  0.2500  4 O 2.70, 4 P 2.70
Zr  0.7500  0.7500  0.7500  4 O 2.70, 4 P 2.70
P  0.0000  0.0000  0.0000  8 Zr 2.70
O  0.5000  0.5000  0.5000  8 Zr 2.70